[1]
Crystalline GeAsSeI2 at its relaxed geometry, computed with GGA-PBE.

Cell: 5.6815 5.0389 5.6815 Å, 90.00 90.00 90.00°
Atoms (fractional coordinates):
I (0.0000, 0.0000, 0.5000)
I (0.5000, 0.0000, 0.0000)
As (0.0000, 0.0000, 0.0000)
Ge (0.5000, 0.5000, 0.5000)
Se (0.0000, 0.5000, 0.0000)

Results
E = -2.695 eV per atom
symmetry = P4/mmm
N(E_F) = 0.6333 states/eV/atom
energy relative to the elements, uncorrected = 2.4 eV per formula unit
magnetic moment = 0.723 μB/cell
mass density = 4.90 g/cm3

***

[2]
Crystalline Sm6Ge2AsI3 at its relaxed geometry, computed with GGA-PBE.

Cell: 7.4455 7.4455 7.9793 Å, 98.94 98.94 120.00°
Atoms (fractional coordinates):
Sm (0.9346, 0.5999, 0.8040)
Sm (0.7302, 0.7302, 0.1958)
Sm (0.0654, 0.4001, 0.1960)
Sm (0.5999, 0.9346, 0.8040)
Sm (0.2698, 0.2698, 0.8042)
Sm (0.4001, 0.0654, 0.1960)
Ge (0.3332, 0.6668, 0.0000)
Ge (0.6668, 0.3332, 0.0000)
As (0.0000, 0.0000, 0.0000)
I (0.1668, 0.8332, 0.5000)
I (0.8332, 0.1668, 0.5000)
I (0.5000, 0.5000, 0.5000)

Results
E = -5.007 eV per atom
symmetry = C2/m
N(E_F) = 0.4301 states/eV/atom
energy relative to the elements, uncorrected = -13.2 eV per formula unit
magnetic moment = 0.000 μB/cell
mass density = 6.85 g/cm3

***

[3]
Crystalline Sr8Ge3AsI4 at its relaxed geometry, computed with GGA-PBE.

Cell: 9.1454 9.8039 9.1373 Å, 117.75 120.03 90.00°
Atoms (fractional coordinates):
Sr (0.2325, 0.7054, 0.9732)
Sr (0.2326, 0.7054, 0.4652)
Sr (0.2611, 0.2835, 0.5222)
Sr (0.7407, 0.7054, 0.9732)
Sr (0.2593, 0.2946, 0.0268)
Sr (0.7389, 0.7165, 0.4778)
Sr (0.7674, 0.2946, 0.5348)
Sr (0.7675, 0.2946, 0.0268)
Ge (0.5000, 0.5000, 0.0000)
Ge (0.5000, 0.5000, 0.5000)
Ge (0.0000, 0.5000, 0.5000)
As (0.0000, 0.5000, 0.0000)
I (0.5000, 0.0000, 0.0000)
I (0.5000, 0.0000, 0.5000)
I (0.0000, 0.0000, 0.0000)
I (0.0000, 0.0000, 0.5000)

Results
E = -3.427 eV per atom
symmetry = C2/m
N(E_F) = 0.6665 states/eV/atom
energy relative to the elements, uncorrected = -16.7 eV per formula unit
magnetic moment = 0.408 μB/cell
mass density = 4.17 g/cm3

***

[4]
Crystalline GeTe2AsI at its relaxed geometry, computed with GGA-PBE.

Cell: 5.5146 5.5146 5.4624 Å, 90.00 90.00 90.00°
Atoms (fractional coordinates):
I (0.0000, 0.0000, 0.5000)
As (0.0000, 0.0000, 0.0000)
Te (0.0000, 0.5000, 0.0000)
Te (0.5000, 0.0000, 0.0000)
Ge (0.5000, 0.5000, 0.5000)

Results
E = -2.875 eV per atom
symmetry = P4/mmm
N(E_F) = 0.6865 states/eV/atom
energy relative to the elements, uncorrected = 2.7 eV per formula unit
magnetic moment = 0.000 μB/cell
mass density = 5.29 g/cm3
relative energy among the computed polymorphs = 0 meV per atom

***

[5]
Crystalline GeTe2AsI at its relaxed geometry, computed with GGA-PBE.

Cell: 5.4829 5.4829 5.5055 Å, 90.00 90.00 90.00°
Atoms (fractional coordinates):
I (0.0000, 0.0000, 0.5000)
As (0.5000, 0.5000, 0.5000)
Te (0.0000, 0.5000, 0.0000)
Te (0.5000, 0.0000, 0.0000)
Ge (0.0000, 0.0000, 0.0000)

Results
E = -2.727 eV per atom
symmetry = P4/mmm
N(E_F) = 0.7989 states/eV/atom
energy relative to the elements, uncorrected = 3.5 eV per formula unit
magnetic moment = 1.114 μB/cell
mass density = 5.31 g/cm3
relative energy among the computed polymorphs = 149 meV per atom

***

[6]
Crystalline ZrGeAs2I at its relaxed geometry, computed with GGA-PBE.

Cell: 5.1799 5.5420 5.1799 Å, 90.00 90.00 90.00°
Atoms (fractional coordinates):
I (0.5000, 0.5000, 0.5000)
As (0.0000, 0.0000, 0.5000)
As (0.5000, 0.0000, 0.0000)
Ge (0.0000, 0.5000, 0.0000)
Zr (0.0000, 0.0000, 0.0000)

Results
E = -4.545 eV per atom
symmetry = P4/mmm
N(E_F) = 1.1688 states/eV/atom
energy relative to the elements, uncorrected = 1.3 eV per formula unit
magnetic moment = 0.000 μB/cell
mass density = 4.92 g/cm3